(1)
# Ho2ErAg PBE-GGA relaxed
# DFT formation energy = 0.0 eV/f.u.
data_Ho2ErAg
_cell_length_a 5.3805
_cell_length_b 5.3805
_cell_length_c 3.7203
_cell_angle_alpha 90.00
_cell_angle_beta 90.00
_cell_angle_gamma 90.00
_space_group_name_H-M_alt 'P 1'
_space_group_IT_number 1
_space_group_name_Hall 'P 1'
loop_
_atom_site_label
_atom_site_fract_x
_atom_site_fract_y
_atom_site_fract_z
Ho1 0.0000 0.5000 0.0000
Ho2 0.5000 0.0000 0.0000
Er1 0.0000 0.0000 0.5000
Ag1 0.5000 0.5000 0.5000

=====

(2)
# HgPNO2 PBE-GGA relaxed
# raw formation energy = -34 meV/atom
data_HgPNO2
_cell_length_a 3.4180
_cell_length_b 3.4180
_cell_length_c 4.3576
_cell_angle_alpha 90.00
_cell_angle_beta 90.00
_cell_angle_gamma 90.00
_space_group_name_H-M_alt 'P 1'
_space_group_IT_number 1
_space_group_name_Hall 'P 1'
loop_
_atom_site_label
_atom_site_fract_x
_atom_site_fract_y
_atom_site_fract_z
Hg1 0.0000 0.0000 0.0000
P1 0.5000 0.5000 0.5000
N1 0.5000 0.5000 0.0000
O1 0.0000 0.5000 0.5000
O2 0.5000 0.0000 0.5000

=====

(3)
# LaHo2MnN4 PBE-GGA relaxed
# raw formation energy = -1235 meV/atom
data_LaHo2MnN4
_cell_length_a 6.0303
_cell_length_b 6.0303
_cell_length_c 11.5611
_cell_angle_alpha 90.00
_cell_angle_beta 90.00
_cell_angle_gamma 147.09
_space_group_name_H-M_alt 'P 1'
_space_group_IT_number 1
_space_group_name_Hall 'P 1'
loop_
_atom_site_label
_atom_site_fract_x
_atom_site_fract_y
_atom_site_fract_z
La1 0.0899 0.9101 0.7500
La2 0.9101 0.0899 0.2500
Ho1 0.3688 0.6312 0.5449
Ho2 0.3688 0.6312 0.9551
Ho3 0.6312 0.3688 0.0449
Ho4 0.6312 0.3688 0.4551
Mn1 0.1713 0.8287 0.2500
Mn2 0.8287 0.1713 0.7500
N1 0.0000 0.0000 0.0000
N2 0.0000 0.0000 0.5000
N3 0.2641 0.7359 0.1253
N4 0.2641 0.7359 0.3747
N5 0.4142 0.5858 0.7500
N6 0.5858 0.4142 0.2500
N7 0.7359 0.2641 0.6253
N8 0.7359 0.2641 0.8747